No. 1
Compound: Cs12Ga3F5
Source: Alexandria
Functional: PBE
Structure: relaxed

## Properties
Total DFT energy (no corrections) = -209.6 eV per cell
Crystal system = cubic
Symmetry = Ia-3d

```
Cs12Ga3F5
1.0
-1.7584 -14.4342 -9.0549
-6.9428 -2.1119 15.5167
-7.9394 12.8308 -8.1096
Cs F Ga
48 20 12
Cartesian
-2.9710 0.9716 0.4813
-13.4447 2.6579 0.8989
-7.3137 -0.5539 1.8760
-2.7576 -6.3903 -6.9338
-11.3574 -8.1004 0.3686
-9.3269 -3.1614 -3.5238
-13.3019 -1.9958 4.3115
-5.2833 4.3851 -2.0164
-9.4406 1.8531 10.1085
-12.7358 -2.4454 -6.2806
-12.5424 1.6290 -3.7119
-9.8390 7.4209 3.7592
-9.9350 5.2465 -2.8832
-3.3387 -1.7195 -5.9594
-6.3052 1.4154 -6.8600
-5.3649 -2.5960 -1.6741
-6.4212 6.1524 -6.0355
-10.2606 3.4304 -7.0266
-5.7266 -3.2419 8.1301
-10.2194 -9.8677 4.3877
-9.3002 9.4300 -0.5741
-13.8830 2.6750 5.2860
-7.5022 -7.1868 -7.2374
-7.2000 -5.5684 -11.7564
-4.0982 -5.3443 2.0641
-14.4865 6.3938 2.9957
-3.9049 -1.2699 4.6328
-9.4556 -0.9200 6.1789
-8.8159 3.9647 1.2202
-7.9870 0.8787 -2.3744
-9.1385 3.4715 5.5895
-7.8247 -7.6800 -2.8680
-7.1850 -2.7953 -7.8268
-11.2757 -1.1193 0.0263
-8.6537 -4.5939 0.7266
-10.9141 -0.4734 -9.7780
-10.3354 -5.1307 5.2122
-6.8016 -11.1362 -5.4070
-8.8306 9.7965 -8.0733
-9.1679 -1.8152 -14.0537
-7.8101 -13.5118 6.4255
-6.7056 -8.9618 1.2354
-13.6696 -4.6869 -2.1291
-7.3404 -13.1453 -1.0738
-7.4728 -1.9001 12.4059
-3.1959 -6.3732 -2.5467
-6.3800 -7.1457 5.3787
-2.1542 -10.1091 -4.6435
-9.1588 -7.6616 5.8904
-8.2365 -5.1387 -9.1124
-3.9697 6.4154 -4.0548
-7.5070 -3.8526 10.2997
-13.2531 0.6217 -1.1177
-8.6353 -7.3340 -0.1343
-8.4042 1.4234 7.4645
0.0000 0.0000 0.0000
-8.3203 -1.8576 -0.8239
-4.3506 -8.2730 3.2309
-9.1337 0.1373 -11.9475
-11.8324 -4.3268 -4.3073
-3.4714 -1.0559 7.7583
-7.4818 3.9463 -7.5382
-4.8082 0.6115 2.6595
-3.3875 -4.3369 -0.5301
-8.0053 3.6187 -1.5135
-7.4411 5.3595 3.7035
-4.8489 -0.8017 -8.5822
-0.8792 -7.2171 -4.5274
-5.8120 -4.7378 -4.8212
-6.9835 -3.5251 4.2749
-4.9148 -10.0138 -1.9861
-7.7381 -12.6100 2.7008
-10.8286 1.0225 3.1734
-4.2847 0.9390 -3.3652
-8.9025 8.8947 -4.3486
-12.3559 -4.6543 1.7174
-11.7258 6.2985 0.3383
-12.2493 5.9709 6.3630
-4.3913 -9.6862 -8.0108
-9.6571 -0.1902 -5.9228
```

No. 2
Compound: SbTeOs2
Source: Alexandria
Functional: PBE
Structure: relaxed

## Properties
Crystal system = orthorhombic
Polymorph energy (0 for the lowest one) = 432.4 meV per atom
Symmetry = Imm2

```
SbTeOs2
1.0
-1.8468 -4.3734 3.7013
-3.7576 -4.4075 -1.6406
5.2085 2.9679 -0.5472
Os Sb Te
2 1 1
Cartesian
-0.1298 -0.2034 0.0477
-0.5525 -2.7220 -0.6240
-2.6497 -4.1514 0.9743
0.1339 -3.1265 2.1459
```

No. 3
Compound: ZrIn
Source: Alexandria
Functional: PBE
Structure: relaxed

## Properties
Total DFT energy (no corrections) = -23.5 eV per cell
Crystal system = triclinic
Symmetry = P-1

```
ZrIn
1.0
-3.0257 -1.2620 -0.4308
0.8260 -0.1448 -5.2292
3.0402 -4.1022 3.0253
In Zr
2 2
Cartesian
-0.3280 -1.4983 0.2953
1.1686 -4.0107 -2.9300
2.2513 -3.3051 -0.0638
-1.4107 -2.2039 -2.5709
```

No. 4
Compound: CaNd2DyTe4
Source: Alexandria
Functional: PBE
Structure: relaxed

## Properties
Total DFT energy (no corrections) = -40.2 eV per cell
Crystal system = monoclinic
Symmetry = P2/m

```
CaNd2DyTe4
1.0
4.4143 0.0000 0.0000
0.0000 7.7979 -0.2167
0.0000 2.6845 7.2053
Dy Ca Te Nd
1 1 4 2
Cartesian
0.0000 5.2412 3.4943
2.2072 3.8989 -0.1083
0.0001 7.7934 5.2490
2.2072 6.4467 1.6771
2.2072 4.0357 5.3115
4.4143 2.6889 1.7396
2.2072 1.3423 3.6026
0.0000 2.6845 7.2053
```

No. 5
Compound: NdHo4Zn5
Source: Alexandria
Functional: PBE
Structure: relaxed

## Properties
Total DFT energy (no corrections) = -32.8 eV per cell
Crystal system = tetragonal
Symmetry = P4/mmm

```
NdHo4Zn5
1.0
-0.0026 -1.1004 3.4017
3.4935 -0.7242 -0.2316
3.8132 16.6696 5.3954
Ho Zn Nd
4 5 1
Cartesian
0.7811 3.4147 1.1052
3.0320 13.2548 4.2901
1.5327 6.7001 2.1686
2.2805 9.9694 3.2268
4.4042 10.7109 5.3471
2.1638 0.9169 2.1771
5.1402 13.9281 6.3884
3.6520 7.4225 4.2828
2.8998 4.1341 3.2184
0.0000 0.0000 0.0000
```

No. 6
Compound: Ca2GaAs2
Source: Alexandria
Functional: PBE
Structure: relaxed

## Properties
Crystal system = tetragonal
Polymorph energy (0 for the lowest one) = 0.0 meV per atom
Symmetry = P4/mbm

```
Ca2GaAs2
1.0
-2.5859 6.9833 0.7386
-2.8328 -0.3172 -6.9191
-3.6437 -1.5144 1.5612
Ca As Ga
4 4 2
Cartesian
-4.2036 0.2718 -3.7801
-3.1588 1.4339 -0.2144
-4.8588 4.8799 -0.8393
-5.9036 3.7179 -4.4050
-1.3866 0.7233 -2.5346
-3.4712 2.3693 -5.8033
-1.9475 4.2969 -0.3773
-4.0321 5.9429 -3.6460
0.0000 0.0000 0.0000
-2.7093 3.3331 -3.0903
```

No. 7
Compound: KRb2CuCl4
Source: Alexandria
Functional: PBE
Structure: relaxed

## Properties
Total DFT energy (no corrections) = -53.2 eV per cell
Crystal system = orthorhombic
Symmetry = Cmcm

```
KRb2CuCl4
1.0
-1.7301 3.8749 -0.9842
-4.8035 -3.3821 4.7689
7.8798 6.7500 12.7238
Rb Cu K Cl
4 2 2 8
Cartesian
1.0477 4.5302 6.3532
0.2985 2.7127 10.1554
-2.0091 1.9116 1.4171
3.3554 5.3312 15.0914
1.3933 6.0694 11.8058
-0.0471 1.1735 4.7028
-3.3630 2.4863 6.0599
4.7093 4.7565 10.4487
3.9399 3.3750 6.3619
3.4339 7.1120 12.3235
1.2850 3.8838 13.0323
0.0612 3.3590 3.4763
-2.0877 0.1309 4.1851
0.0000 0.0000 0.0000
-0.3510 1.6186 6.9894
1.6972 5.6243 9.5191
```

No. 8
Compound: Sr2CaSi3Au12
Source: Alexandria
Functional: PBE
Structure: relaxed

## Properties
Total DFT energy (no corrections) = -64.6 eV per cell
Crystal system = trigonal
Symmetry = R-3m

```
Sr2CaSi3Au12
1.0
8.1266 -0.4612 -0.3271
3.6123 7.2942 -0.3271
3.6123 2.1026 6.9922
Au Sr Ca Si
12 2 1 3
Cartesian
11.4910 4.2673 5.5924
6.0582 6.3956 4.5363
5.9657 1.0511 0.7456
3.8602 4.6684 0.7456
11.4910 6.6887 2.1786
6.7980 3.9570 5.8468
6.7980 6.8262 1.8016
8.5531 4.9786 0.4912
9.2929 2.5400 1.8016
8.5531 2.1094 4.5363
9.3855 7.8845 5.5924
3.8602 2.2469 4.1594
9.2062 5.3588 3.8009
6.1450 3.5769 2.5370
0.0000 0.0000 0.0000
1.8061 3.6471 -0.1636
1.8061 1.0513 3.4961
4.0633 -0.2306 -0.1636
```

No. 9
Compound: Pm2FeSi4Ir3
Source: Alexandria
Functional: PBE
Structure: relaxed

## Properties
Total DFT energy (no corrections) = -75.4 eV per cell
Crystal system = tetragonal
Symmetry = P-4m2

```
Pm2FeSi4Ir3
1.0
4.1668 0.0000 0.0000
0.0000 4.1668 0.0000
0.0000 0.0000 9.7706
Si Ir Pm Fe
4 3 2 1
Cartesian
2.0834 0.0000 6.0738
0.0000 2.0834 3.6968
0.0000 0.0000 0.0000
2.0834 2.0834 0.0000
0.0000 2.0834 1.2496
0.0000 0.0000 4.8853
2.0834 0.0000 8.5210
0.0000 2.0834 7.3192
2.0834 0.0000 2.4514
2.0834 2.0834 4.8853
```

No. 10
Compound: BaCrSCl2
Source: Alexandria
Functional: PBE
Structure: relaxed

## Properties
Crystal system = tetragonal
Polymorph energy (0 for the lowest one) = 0.0 meV per atom
Symmetry = P4/mmm

```
BaCrSCl2
1.0
4.9187 0.0000 0.0000
0.0000 4.9187 0.0000
0.0000 0.0000 4.9726
S Cl Ba Cr
1 2 1 1
Cartesian
0.0000 0.0000 2.4863
2.4593 0.0000 0.0000
0.0000 2.4593 0.0000
2.4593 2.4593 2.4863
0.0000 0.0000 0.0000
```

No. 11
Compound: VB3P
Source: Alexandria
Functional: PBE
Structure: relaxed

## Properties
Crystal system = cubic
Polymorph energy (0 for the lowest one) = 0.0 meV per atom
Symmetry = Pm-3m

```
VB3P
1.0
-0.5417 -0.4507 3.7339
-2.6640 -2.6169 -0.7024
2.6548 -2.7179 0.0571
V P B
1 1 3
Cartesian
-0.2755 -2.8928 1.5443
0.0000 0.0000 0.0000
1.3274 -1.3590 0.0285
-0.2709 -0.2254 1.8669
-1.3320 -1.3084 -0.3512
```

Number 1: spin magnetization 0.366 μB/atom. Number 2: spin magnetization 0.000 μB/atom. Number 3: spin magnetization 0.000 μB/atom. Number 4: spin magnetization 0.000 μB/atom. Number 5: spin magnetization 0.000 μB/atom. Number 6: spin magnetization 0.000 μB/atom. Number 7: spin magnetization 0.015 μB/atom. Number 8: spin magnetization 0.000 μB/atom. Number 9: spin magnetization 0.000 μB/atom. Number 10: spin magnetization 0.800 μB/atom. Number 11: spin magnetization 0.385 μB/atom.